# 1
An optimized crystal structure of Rb2InHgCl6, computed with GGA-PBEsol.

Cell lengths 7.471, 7.471, 7.471 Å; angles 60.00, 60.00, 60.00 degrees
Element x y z (fractional)
Rb 0.250 0.250 0.250
Rb 0.750 0.750 0.750
In 0.000 0.000 0.000
Hg 0.500 0.500 0.500
Cl 0.241 0.241 0.759
Cl 0.241 0.759 0.241
Cl 0.241 0.759 0.759
Cl 0.759 0.241 0.241
Cl 0.759 0.241 0.759
Cl 0.759 0.759 0.241

Crystal system: cubic
DOS(E_F) in states/eV/f.u.: 1.14
SG: Fm-3m, No. 225
Electronic total energy in eV per atom: -3.06



# 2
An optimized crystal structure of InHgS2Cl, computed with GGA-PBEsol.

Cell lengths 4.928, 4.928, 5.205 Å; angles 90.00, 90.00, 90.00 degrees
Element x y z (fractional)
In 0.000 0.000 0.000
Hg 0.500 0.500 0.500
S 0.000 0.500 0.500
S 0.500 0.000 0.500
Cl 0.500 0.500 0.000

Crystal system: tetragonal
DOS(E_F) in states/eV/f.u.: 5.59
SG: P4/mmm, No. 123
Electronic total energy in eV per atom: -2.66



# 3
An optimized crystal structure of InHgTe2Cl, computed with GGA-PBEsol.

Cell lengths 5.428, 5.428, 5.977 Å; angles 90.00, 90.00, 90.00 degrees
Element x y z (fractional)
In 0.000 0.000 0.000
Hg 0.000 0.000 0.500
Te 0.000 0.500 0.500
Te 0.500 0.000 0.500
Cl 0.500 0.500 0.000

Crystal system: tetragonal
DOS(E_F) in states/eV/f.u.: 7.52
SG: P4/mmm, No. 123
Electronic total energy in eV per atom: -2.18



# 4
An optimized crystal structure of ZrIn2HgCl, computed with GGA-PBEsol.

Cell lengths 5.681, 5.681, 4.828 Å; angles 90.00, 90.00, 90.00 degrees
Element x y z (fractional)
Zr 0.000 0.000 0.000
In 0.000 0.500 0.000
In 0.500 0.000 0.000
Hg 0.500 0.500 0.500
Cl 0.000 0.000 0.500

Crystal system: tetragonal
DOS(E_F) in states/eV/f.u.: 4.24
SG: P4/mmm, No. 123
Electronic total energy in eV per atom: -3.47



DOS(E_F) of number 1 (Rb2InHgCl6)?
1.14 states/eV/f.u.



Among the records above, which one has the highest DOS(E_F)?
InHgTe2Cl